1.
A geometry-optimized Ce3S2N structure, computed with PBE.

a b c (Å): 3.7795 5.5347 6.7588
angles (deg): 114.17 106.24 90.00
With the nearest neighbours (Å) after each atom.
Fractional coordinates of all 6 atoms:
1 Ce 0.8551 0.3551 0.2102  2 N 2.54, 4 S 2.79-2.84
2 Ce 0.1449 0.6449 0.7898  2 N 2.54, 4 S 2.79-2.84
3 Ce 0.5000 0.0000 0.5000  2 N 2.77, 4 S 2.79
4 S 0.8256 0.8256 0.1511  6 Ce 2.79-2.84
5 S 0.1744 0.1744 0.8489  6 Ce 2.79-2.84
6 N 0.5000 0.5000 0.5000  6 Ce 2.54-2.77

Computed properties:
Total magnetization, μB per cell: 0.37
Crystal system: orthorhombic
E_form (uncorrected), eV per formula unit: -10.75

---

2.
A geometry-optimized LiHgPt2 structure, computed with PBE.

a b c (Å): 4.8511 5.5422 2.8304
angles (deg): 75.74 88.81 115.62
With the nearest neighbours (Å) after each atom.
Fractional coordinates of all 4 atoms:
1 Hg 0.0000 0.5000 0.5000  4 Li 2.78-2.83, 4 Pt 2.78, 2 Hg 2.83
2 Li 0.5000 0.5000 0.0000  4 Hg 2.78-2.83, 4 Pt 2.78, 2 Li 2.83
3 Pt 0.0000 0.0000 0.0000  6 Pt 2.78-2.83, 2 Hg 2.78, 2 Li 2.78
4 Pt 0.5000 0.0000 0.5000  6 Pt 2.78-2.83, 2 Li 2.78, 2 Hg 2.78

Computed properties:
Formation energy from the elements, eV/atom: -0.27
Total magnetization, μB per cell: 0.00
Crystal system: monoclinic

---

3.
A geometry-optimized TcP2W structure, computed with PBE.

a b c (Å): 4.4875 4.4875 4.4227
angles (deg): 75.04 75.04 39.87
With the nearest neighbours (Å) after each atom.
Fractional coordinates of all 4 atoms:
1 P 0.0031 0.0031 0.9607  3 W 2.43-2.48, 2 Tc 2.57
2 P 0.2457 0.2457 0.2920  3 Tc 2.44-2.46, 2 W 2.58, 2 P 2.73
3 Tc 0.5081 0.5081 0.4245  5 P 2.44-2.57
4 W 0.7431 0.7431 0.8228  5 P 2.43-2.58

Computed properties:
Formation energy from the elements, eV/atom: -0.30
Total magnetization, μB per cell: 0.00
Crystal system: monoclinic
E above lowest polymorph, meV per atom: 100.4

---

4.
A geometry-optimized Pr4MgHg structure, computed with PBE.

a b c (Å): 5.2094 5.2150 7.9805
angles (deg): 90.01 89.99 90.00
With the nearest neighbours (Å) after each atom.
Fractional coordinates of all 6 atoms:
1 Pr 0.5012 0.9973 0.2579  2 Hg 3.23, 2 Mg 3.33
2 Pr 0.5012 0.9972 0.7382  2 Hg 3.23, 2 Mg 3.33-3.34
3 Pr 0.0013 0.4975 0.7380  2 Hg 3.23-3.24, 2 Mg 3.33
4 Pr 0.0013 0.4974 0.2582  2 Hg 3.24, 2 Mg 3.33
5 Mg 0.5016 0.4967 0.9985  8 Pr 3.33-3.34
6 Hg 0.0012 0.9975 0.4981  8 Pr 3.23-3.24

Computed properties:
Formation energy from the elements, eV/atom: 0.12
Total magnetization, μB per cell: 0.00
Crystal system: monoclinic

---

5.
A geometry-optimized Cr2ReHg structure, computed with PBE.

a b c (Å): 8.9369 8.9369 8.9369
angles (deg): 18.58 18.58 18.58
With the nearest neighbours (Å) after each atom.
Fractional coordinates of all 4 atoms:
1 Cr 0.0084 0.0084 0.0084  3 Re 2.58, 6 Cr 2.89
2 Cr 0.4916 0.4916 0.4916  3 Re 2.58, 6 Cr 2.89
3 Hg 0.2500 0.2500 0.2500  6 Hg 2.89, 6 Cr 2.93
4 Re 0.7500 0.7500 0.7500  6 Cr 2.58, 6 Re 2.89

Computed properties:
Formation energy from the elements, eV/atom: 0.52
Total magnetization, μB per cell: 4.21
Crystal system: trigonal

---

6.
A geometry-optimized Ca2ZnNi structure, computed with PBE.

a b c (Å): 4.9684 4.9670 3.6302
angles (deg): 90.00 90.00 90.00
With the nearest neighbours (Å) after each atom.
Fractional coordinates of all 4 atoms:
1 Ni 0.5000 0.0000 0.5000  8 Ca 3.08
2 Zn 0.0000 0.5000 0.5000  8 Ca 3.08
3 Ca 0.0000 0.0000 0.0000  4 Zn 3.08, 4 Ni 3.08
4 Ca 0.5000 0.5000 0.0000  4 Ni 3.08, 4 Zn 3.08

Computed properties:
Formation energy from the elements, eV/atom: -0.08
Total magnetization, μB per cell: 0.00
Crystal system: tetragonal

---

Number 1: DOS(E_F) 9.919 states/eV/cell. Number 2: DOS(E_F) 1.852 states/eV/cell. Number 3: DOS(E_F) 2.263 states/eV/cell. Number 4: DOS(E_F) 10.397 states/eV/cell. Number 5: DOS(E_F) 3.753 states/eV/cell. Number 6: DOS(E_F) 2.336 states/eV/cell.